# BaCo2As

An optimized crystal structure of BaCo2As (PBE-GGA, Alexandria).

space-group type	I4_1/amd

Cell: 8.6260 8.6260 8.6260 Å, 147.24 147.24 47.00°
With the nearest neighbours (Å) after each atom.
Fractional positions:
Ba 0.3750 0.6250 0.7500  8 Co 3.36, 4 As 3.44
Ba 0.6250 0.3750 0.2500  8 Co 3.36, 4 As 3.44
Co 0.0000 0.0000 0.0000  2 As 2.32, 2 Co 2.43
Co 0.0000 0.0000 0.5000  2 As 2.32, 2 Co 2.43
Co 0.0000 0.5000 0.0000  2 As 2.32, 2 Co 2.43
Co 0.5000 0.0000 0.5000  2 As 2.32, 2 Co 2.43
As 0.1250 0.8750 0.2500  4 Co 2.32
As 0.8750 0.1250 0.7500  4 Co 2.32

=====

# PmDy4Y6

An optimized crystal structure of PmDy4Y6 (PBE-GGA, Alexandria).

excess energy over the best structure of this formula in the dataset	0	meV/atom
space-group type	Cmcm

Cell: 5.6257 5.6257 25.7965 Å, 90.00 90.00 118.98°
With the nearest neighbours (Å) after each atom.
Fractional positions:
Pm 0.1796 0.8204 0.7500  3 Y 3.23-3.28
Pm 0.8204 0.1796 0.2500  3 Y 3.23-3.28
Dy 0.1600 0.8400 0.0418  8 Y 3.42-3.73, 2 Dy 3.70-3.78
Dy 0.1600 0.8400 0.4582  8 Y 3.42-3.73, 2 Dy 3.70-3.78
Dy 0.4778 0.5222 0.1209  5 Y 3.13-3.33
Dy 0.4778 0.5222 0.3791  5 Y 3.13-3.33
Dy 0.5222 0.4778 0.6209  5 Y 3.13-3.33
Dy 0.5222 0.4778 0.8791  5 Y 3.13-3.33
Dy 0.8400 0.1600 0.5418  8 Y 3.42-3.73, 2 Dy 3.70-3.78
Dy 0.8400 0.1600 0.9582  8 Y 3.42-3.73, 2 Dy 3.70-3.78
Y 0.1495 0.8505 0.1807  4 Dy 3.54-3.65, 7 Y 3.58-3.85, 3 Pm 3.66-3.75
Y 0.1495 0.8505 0.3193  4 Dy 3.54-3.65, 7 Y 3.58-3.85, 3 Pm 3.66-3.75
Y 0.1843 0.8157 0.6023  6 Dy 3.29-3.68
Y 0.1843 0.8157 0.8977  6 Dy 3.29-3.68
Y 0.4867 0.5133 0.2500  3 Pm 3.23-3.28, 2 Dy 3.33
Y 0.5000 0.5000 0.0000  8 Dy 3.13-3.47
Y 0.5000 0.5000 0.5000  8 Dy 3.13-3.47
Y 0.5133 0.4867 0.7500  3 Pm 3.23-3.28, 2 Dy 3.33
Y 0.8157 0.1843 0.1023  6 Dy 3.29-3.68
Y 0.8157 0.1843 0.3977  6 Dy 3.29-3.68
Y 0.8505 0.1495 0.6807  4 Dy 3.54-3.65, 7 Y 3.58-3.85, 3 Pm 3.66-3.75
Y 0.8505 0.1495 0.8193  4 Dy 3.54-3.65, 7 Y 3.58-3.85, 3 Pm 3.66-3.75

=====

# BAsP2Cl

An optimized crystal structure of BAsP2Cl (PBE-GGA, Alexandria).

excess energy over the best structure of this formula in the dataset	16	meV/atom
space-group type	P1
formation energy (no corrections)	-0.0826	eV/atom

Cell: 3.3564 5.6682 6.8981 Å, 95.54 90.05 106.26°
With the nearest neighbours (Å) after each atom.
Fractional positions:
B 0.0000 0.0000 0.0000  1 Cl 1.78, 2 P 1.98-1.99
As 0.8093 0.5842 0.8789  1 B 2.33, 2 P 2.35
P 0.3579 0.6882 0.6632  1 P 2.28, 2 As 2.35
P 0.5247 0.0534 0.8565  2 B 1.98-1.99
Cl 0.0535 0.1079 0.2530  1 B 1.78

=====

# Li3Th2Hg4

An optimized crystal structure of Li3Th2Hg4 (PBE-GGA, Alexandria).

space-group type	P-1

Cell: 5.0243 5.1883 9.2363 Å, 79.11 89.97 61.06°
With the nearest neighbours (Å) after each atom.
Fractional positions:
Li 0.0000 0.0000 0.0000  6 Hg 3.04-3.22
Li 0.3899 0.2188 0.4083  1 Li 2.32
Li 0.6101 0.7812 0.5917  1 Li 2.32
Th 0.2803 0.4399 0.7522  2 Li 3.15, 8 Hg 3.15-3.48
Th 0.7197 0.5601 0.2478  2 Li 3.15, 8 Hg 3.15-3.48
Hg 0.0857 0.8281 0.3842  1 Li 2.73, 1 Hg 2.91
Hg 0.3622 0.2751 0.1019  3 Li 2.79-3.04
Hg 0.6378 0.7249 0.8981  3 Li 2.79-3.04
Hg 0.9143 0.1719 0.6158  1 Li 2.73, 1 Hg 2.91

=====

# Mg17Zn11Pb

An optimized crystal structure of Mg17Zn11Pb (PBE-GGA, Alexandria).

space-group type	Cm

Cell: 9.0610 9.0610 8.6359 Å, 107.45 107.45 110.32°
With the nearest neighbours (Å) after each atom.
Fractional positions:
Mg 0.0000 0.0000 0.0000  9 Zn 3.02-3.20, 4 Mg 3.07-3.11
Mg 0.2473 0.5719 0.5764  4 Zn 2.93-3.13, 7 Mg 2.98-3.17, 1 Pb 3.21
Mg 0.2866 0.2866 0.7014  4 Zn 2.89-2.90, 1 Pb 2.97, 3 Mg 2.99-3.17
Mg 0.3040 0.6930 0.3039  3 Zn 2.80-3.06, 6 Mg 2.95-3.12
Mg 0.3282 0.3282 0.3257  6 Zn 2.99-3.14, 4 Mg 3.05-3.07
Mg 0.3482 0.6660 0.9729  3 Zn 2.83-2.85, 4 Mg 2.95-3.16, 1 Pb 3.12
Mg 0.3771 0.9664 0.6733  4 Zn 2.84-3.11, 5 Mg 3.06-3.13
Mg 0.5719 0.2473 0.5764  4 Zn 2.93-3.13, 7 Mg 2.98-3.17, 1 Pb 3.21
Mg 0.5889 0.5889 0.2532  3 Zn 2.86-2.96, 7 Mg 3.07-3.16
Mg 0.6580 0.9969 0.0093  5 Zn 2.90-3.23, 5 Mg 3.00-3.20, 1 Pb 3.16
Mg 0.6639 0.9818 0.3766  5 Zn 2.81-3.09, 5 Mg 3.02-3.14
Mg 0.6660 0.3482 0.9729  3 Zn 2.83-2.85, 4 Mg 2.95-3.16, 1 Pb 3.12
Mg 0.6930 0.3040 0.3039  3 Zn 2.80-3.06, 6 Mg 2.95-3.12
Mg 0.9664 0.3771 0.6733  4 Zn 2.84-3.11, 5 Mg 3.06-3.13
Mg 0.9707 0.9707 0.6275  7 Zn 2.96-3.18, 4 Mg 2.99-3.07
Mg 0.9818 0.6639 0.3766  5 Zn 2.81-3.09, 5 Mg 3.02-3.14
Mg 0.9969 0.6580 0.0093  5 Zn 2.90-3.23, 5 Mg 3.00-3.20, 1 Pb 3.16
Zn 0.1404 0.7924 0.7921  3 Zn 2.59-2.82, 2 Mg 2.84-2.85
Zn 0.1640 0.3414 0.9777  3 Zn 2.64-2.82, 3 Mg 2.85-2.90
Zn 0.1890 0.9968 0.3667  3 Zn 2.59-2.86, 2 Mg 2.84-2.89
Zn 0.3414 0.1640 0.9777  3 Zn 2.64-2.82, 3 Mg 2.85-2.90
Zn 0.3583 0.9850 0.1673  3 Zn 2.63-2.80, 3 Mg 2.83-2.94
Zn 0.6144 0.8008 0.6054  2 Zn 2.59-2.77, 1 Mg 2.80
Zn 0.7924 0.1404 0.7921  3 Zn 2.59-2.82, 2 Mg 2.84-2.85
Zn 0.8008 0.6144 0.6054  2 Zn 2.59-2.77, 1 Mg 2.80
Zn 0.8482 0.8482 0.2175  2 Zn 2.59, 3 Mg 2.81-2.86
Zn 0.9850 0.3583 0.1673  3 Zn 2.63-2.80, 3 Mg 2.83-2.94
Zn 0.9968 0.1890 0.3667  3 Zn 2.59-2.86, 2 Mg 2.84-2.89
Pb 0.6151 0.6151 0.8332  3 Zn 2.90-2.95, 7 Mg 2.97-3.21

=====

# DyBiPd

An optimized crystal structure of DyBiPd (PBE-GGA, Alexandria).

space-group type	I4mm

Cell: 6.4130 6.4130 6.4130 Å, 148.04 148.04 45.83°
With the nearest neighbours (Å) after each atom.
Fractional positions:
Dy 0.0000 0.0000 0.0000  4 Pd 2.93
Bi 0.7080 0.7080 0.0000  4 Pd 3.15, 5 Dy 3.45-3.50
Pd 0.3708 0.3708 0.0000  4 Dy 2.93, 4 Bi 3.15

=====

Values of E_tot, in order: -42.50, -121.29, -24.41, -23.87, -46.21, -15.42, all in eV per cell.
Values of magnetization, in order: 4.65, 0.00, 0.00, 0.00, 0.00, 0.00, all in μB per cell.